Entry 1:
## Tl2Ni3PdSe6 (PBE)

Data for a relaxed structure of Tl2Ni3PdSe6.

abc: 7.2667 7.2667 5.9323
angles: 90.00 90.00 120.00
With the nearest neighbours (Å) after each atom.
Positions (direct):
Tl 0.3333 0.6667 0.1557  3 Ni 2.93
Tl 0.6667 0.3333 0.8443  3 Ni 2.93
Ni 0.0000 0.5000 0.5000  4 Se 2.35
Ni 0.5000 0.0000 0.5000  4 Se 2.35
Ni 0.5000 0.5000 0.5000  4 Se 2.35
Pd 0.0000 0.0000 0.5000  6 Se 2.52
Se 0.1774 0.3547 0.6988  2 Ni 2.35, 1 Pd 2.52
Se 0.1774 0.8226 0.6988  2 Ni 2.35, 1 Pd 2.52
Se 0.3547 0.1774 0.3012  2 Ni 2.35, 1 Pd 2.52
Se 0.6453 0.8226 0.6988  2 Ni 2.35, 1 Pd 2.52
Se 0.8226 0.1774 0.3012  2 Ni 2.35, 1 Pd 2.52
Se 0.8226 0.6453 0.3012  2 Ni 2.35, 1 Pd 2.52

Values from the calculation:
Space-group type = P-3m1

=====

Entry 2:
## CsBi5Pt3 (PBE)

Data for a relaxed structure of CsBi5Pt3.

abc: 5.9257 5.9257 8.9929
angles: 90.00 90.00 120.00
With the nearest neighbours (Å) after each atom.
Positions (direct):
Cs 0.0000 0.0000 0.0000  14 Bi 4.06-4.50
Bi 0.0000 0.0000 0.5000  6 Pt 2.96
Bi 0.3333 0.6667 0.2440  3 Pt 2.87
Bi 0.3333 0.6667 0.7560  3 Pt 2.87
Bi 0.6667 0.3333 0.2440  3 Pt 2.87
Bi 0.6667 0.3333 0.7560  3 Pt 2.87
Pt 0.0000 0.5000 0.5000  6 Bi 2.87-2.96, 4 Pt 2.96
Pt 0.5000 0.0000 0.5000  6 Bi 2.87-2.96, 4 Pt 2.96
Pt 0.5000 0.5000 0.5000  6 Bi 2.87-2.96, 4 Pt 2.96

Values from the calculation:
Space-group type = P6/mmm

=====

Number 1: energy -4.30 eV per atom. Number 2: energy -4.55 eV per atom.